(1)
This record from Alexandria via LeMat-Bulk describes crystalline MgUHg2 at its relaxed geometry. The functional is PBE-GGA.

Unit cell a=5.537 b=5.537 c=3.095 alpha=90.00 beta=90.00 gamma=90.00
Space group P4/mmm (No. 123)
Unique sites:
Mg (0.000, 0.000, 0.000) [1 per cell]
U (0.500, 0.500, 0.000) [1 per cell]
Hg (0.000, 0.500, 0.500) [2 per cell]

Electronic total energy   -3.26 eV per atom
Magnetic moment   3.24 μB/cell


(2)
This record from Alexandria via LeMat-Bulk describes crystalline TcNiS3 at its relaxed geometry. The functional is PBE-GGA.

Unit cell a=4.594 b=4.594 c=4.594 alpha=90.00 beta=90.00 gamma=90.00
Space group Pm-3m (No. 221)
Unique sites:
Tc (0.000, 0.000, 0.000) [1 per cell]
Ni (0.500, 0.500, 0.500) [1 per cell]
S (0.000, 0.000, 0.500) [3 per cell]

Electronic total energy   -5.00 eV per atom
Offset from the most stable computed form   0.00 kcal/mol of atoms
Magnetic moment   1.14 μB/cell
Uncorrected formation energy   68 kJ per mole of atoms


(3)
This record from Alexandria via LeMat-Bulk describes crystalline Sc2BeAgP at its relaxed geometry. The functional is PBE-GGA.

Unit cell a=5.181 b=5.181 c=4.493 alpha=90.00 beta=90.00 gamma=90.00
Space group P4/mmm (No. 123)
Unique sites:
Sc (0.000, 0.500, 0.000) [2 per cell]
Be (0.000, 0.000, 0.500) [1 per cell]
Ag (0.500, 0.500, 0.000) [1 per cell]
P (0.500, 0.500, 0.500) [1 per cell]

Electronic total energy   -4.10 eV per atom
Magnetic moment   0.00 μB/cell


(4)
This record from Alexandria via LeMat-Bulk describes crystalline YInO2 at its relaxed geometry. The functional is PBE-GGA.

Unit cell a=5.812 b=5.812 c=10.186 alpha=90.00 beta=90.00 gamma=90.00
Space group I-42d (No. 122)
Unique sites:
Y (0.000, 0.000, 0.000) [4 per cell]
In (0.000, 0.000, 0.500) [4 per cell]
O (0.168, 0.250, 0.125) [8 per cell]

Electronic total energy   -6.92 eV per atom
Magnetic moment   0.00 μB/cell
Uncorrected formation energy   -206 kJ per mole of atoms


(5)
This record from Alexandria via LeMat-Bulk describes crystalline Ac2Pm3YTe6 at its relaxed geometry. The functional is PBE-GGA.

Unit cell a=19.741 b=4.511 c=9.161 alpha=90.00 beta=102.79 gamma=90.00
Space group C2/m (No. 12)
Unique sites:
Ac (0.166, 0.000, 0.333) [4 per cell]
Pm (0.000, 0.500, 0.500) [2 per cell]
Pm (0.173, 0.000, 0.837) [4 per cell]
Y (0.000, 0.500, 0.000) [2 per cell]
Te (0.007, 0.000, 0.760) [4 per cell]
Te (0.161, 0.500, 0.070) [4 per cell]
Te (0.163, 0.500, 0.594) [4 per cell]

Electronic total energy   -5.39 eV per atom
Magnetic moment   0.00 μB/cell
Uncorrected formation energy   -136 kJ per mole of atoms


(6)
This record from Alexandria via LeMat-Bulk describes crystalline Ca12Bi3O5 at its relaxed geometry. The functional is PBE-GGA.

Unit cell a=16.114 b=16.114 c=16.114 alpha=90.00 beta=90.00 gamma=90.00
Space group Ia-3d (No. 230)
Unique sites:
Ca (0.040, 0.044, 0.649) [96 per cell]
Bi (0.000, 0.250, 0.125) [24 per cell]
O (0.000, 0.000, 0.000) [16 per cell]
O (0.000, 0.250, 0.375) [24 per cell]

Electronic total energy   -4.64 eV per atom
Magnetic moment   21.25 μB/cell
Uncorrected formation energy   -156 kJ per mole of atoms


(7)
This record from Alexandria via LeMat-Bulk describes crystalline BaTl4Pd4 at its relaxed geometry. The functional is PBE-GGA.

Unit cell a=6.982 b=6.982 c=9.139 alpha=90.00 beta=90.00 gamma=90.00
Space group P4_2/nmc (No. 137, origin choice 2)
Unique sites:
Ba (0.250, 0.750, 0.250) [2 per cell]
Tl (0.009, 0.250, 0.122) [8 per cell]
Pd (0.051, 0.250, 0.427) [8 per cell]

Electronic total energy   -3.85 eV per atom
Offset from the most stable computed form   0.00 kcal/mol of atoms
Magnetic moment   0.00 μB/cell


(8)
This record from Alexandria via LeMat-Bulk describes crystalline HfSiSb2Pt at its relaxed geometry. The functional is PBE-GGA.

Unit cell a=5.134 b=5.134 c=5.196 alpha=90.00 beta=90.00 gamma=90.00
Space group P4/mmm (No. 123)
Unique sites:
Hf (0.000, 0.000, 0.000) [1 per cell]
Si (0.500, 0.500, 0.000) [1 per cell]
Sb (0.000, 0.500, 0.500) [2 per cell]
Pt (0.000, 0.000, 0.500) [1 per cell]

Electronic total energy   -5.27 eV per atom
Magnetic moment   0.00 μB/cell
Uncorrected formation energy   64 kJ per mole of atoms


(9)
This record from Alexandria via LeMat-Bulk describes crystalline Sc2BeNi5B2 at its relaxed geometry. The functional is PBE-GGA.

Unit cell a=8.642 b=8.642 c=2.998 alpha=90.00 beta=90.00 gamma=90.00
Space group P4/mbm (No. 127)
Unique sites:
Sc (0.178, 0.322, 0.000) [4 per cell]
Be (0.000, 0.000, 0.000) [2 per cell]
Ni (0.000, 0.500, 0.500) [2 per cell]
Ni (0.066, 0.783, 0.500) [8 per cell]
B (0.120, 0.620, 0.000) [4 per cell]

Electronic total energy   -6.31 eV per atom
Magnetic moment   0.00 μB/cell


(10)
This record from Alexandria via LeMat-Bulk describes crystalline AcIn2Cu2 at its relaxed geometry. The functional is PBE-GGA.

Unit cell a=4.417 b=4.417 c=11.757 alpha=90.00 beta=90.00 gamma=90.00
Space group I4/mmm (No. 139)
Unique sites:
Ac (0.000, 0.000, 0.000) [2 per cell]
In (0.000, 0.500, 0.250) [4 per cell]
Cu (0.000, 0.000, 0.394) [4 per cell]

Electronic total energy   -3.84 eV per atom
Offset from the most stable computed form   0.06 kcal/mol of atoms
Magnetic moment   0.00 μB/cell


(11)
This record from Alexandria via LeMat-Bulk describes crystalline La2Tb7Tl2 at its relaxed geometry. The functional is PBE-GGA.

Unit cell a=9.027 b=9.509 c=8.559 alpha=90.00 beta=105.73 gamma=90.00
Space group C2/m (No. 12)
Unique sites:
La (0.000, 0.181, 0.000) [4 per cell]
Tb (0.000, 0.000, 0.500) [2 per cell]
Tb (0.178, 0.303, 0.665) [8 per cell]
Tb (0.191, 0.500, 0.020) [4 per cell]
Tl (0.120, 0.500, 0.346) [4 per cell]

Electronic total energy   -4.26 eV per atom
Magnetic moment   0.00 μB/cell


(12)
This record from Alexandria via LeMat-Bulk describes crystalline HfGa2Te6 at its relaxed geometry. The functional is PBE-GGA.

Unit cell a=13.055 b=12.804 c=7.853 alpha=90.00 beta=104.80 gamma=90.00
Space group C2/c (No. 15)
Unique sites:
Hf (0.000, 0.104, 0.250) [4 per cell]
Ga (0.183, 0.415, 0.309) [8 per cell]
Te (0.088, 0.430, 0.583) [8 per cell]
Te (0.110, 0.065, 0.612) [8 per cell]
Te (0.168, 0.222, 0.190) [8 per cell]

Electronic total energy   -4.23 eV per atom
Magnetic moment   0.00 μB/cell
Uncorrected formation energy   -34 kJ per mole of atoms